[1]
The following is a DFT calculation (GGA-PBE) of AlCrNiPd after structural relaxation.

Unit cell a=4.2575 b=4.2575 c=4.2575 alpha=60.00 beta=60.00 gamma=60.00
Element x y z (fractional)
Al: 0.0000 0.0000 0.0000
Cr: 0.5000 0.5000 0.5000
Ni: 0.7500 0.7500 0.7500
Pd: 0.2500 0.2500 0.2500

## Properties
DOS at the Fermi energy in states/eV/atom: 0.917
E_form in eV per atom: -0.30
Spin magnetization in μB per formula unit: 3.6
Space-group type: F-43m, No. 216

[2]
The following is a DFT calculation (GGA-PBE) of AlCrNiRh after structural relaxation.

Unit cell a=4.2050 b=4.2050 c=4.2050 alpha=60.00 beta=60.00 gamma=60.00
Element x y z (fractional)
Al: 0.0000 0.0000 0.0000
Cr: 0.5000 0.5000 0.5000
Ni: 0.2500 0.2500 0.2500
Rh: 0.7500 0.7500 0.7500

## Properties
DOS at the Fermi energy in states/eV/atom: 1.208
E_form in eV per atom: -0.38
Spin magnetization in μB per formula unit: 3.6
Space-group type: F-43m, No. 216

[3]
The following is a DFT calculation (GGA-PBE) of AlCrNiRu after structural relaxation.

Unit cell a=4.1727 b=4.1727 c=4.1727 alpha=60.00 beta=60.00 gamma=60.00
Element x y z (fractional)
Al: 0.0000 0.0000 0.0000
Cr: 0.5000 0.5000 0.5000
Ni: 0.7500 0.7500 0.7500
Ru: 0.2500 0.2500 0.2500

## Properties
DOS at the Fermi energy in states/eV/atom: 0.789
E_form in eV per atom: -0.30
Spin magnetization in μB per formula unit: 2.8
Space-group type: F-43m, No. 216

[4]
The following is a DFT calculation (GGA-PBE) of AlCrNiSe2 after structural relaxation.

Unit cell a=4.8146 b=4.8146 c=4.3400 alpha=90.00 beta=90.00 gamma=90.00
Element x y z (fractional)
Al: 0.0000 0.0000 0.0000
Cr: 0.5000 0.5000 0.5000
Ni: 0.0000 0.0000 0.5000
Se: 0.0000 0.5000 0.0000
Se: 0.5000 0.0000 0.0000

## Properties
DOS at the Fermi energy in states/eV/atom: 1.284
E_form (uncorrected) in meV/atom: 993.0
Spin magnetization in μB per formula unit: 0.4
Space-group type: P4/mmm, No. 123

Which of these has the lowest spin magnetization?
AlCrNiSe2